Record 1
Material: Mn2TcSb
Method: DFT, PBE
State: relaxed

The structure in CIF format:
```
data_Mn2TcSb
_cell_length_a 4.773
_cell_length_b 4.773
_cell_length_c 4.773
_cell_angle_alpha 132.18
_cell_angle_beta 132.18
_cell_angle_gamma 69.94
_symmetry_space_group_name_H-M 'P 1'
_symmetry_Int_Tables_number 1
loop_
_symmetry_equiv_pos_as_xyz
'x,y,z'
loop_
_atom_site_label
_atom_site_fract_x
_atom_site_fract_y
_atom_site_fract_z
Mn1 0.250 0.750 0.500
Mn2 0.750 0.250 0.500
Tc1 0.000 0.000 0.000
Sb1 0.500 0.500 0.000
```

Computed properties:
Formation energy without anion corrections in meV/atom: 199
Fermi-level density of states in states/eV/f.u.: 3.48


Record 2
Material: Tl2HgPtBr
Method: DFT, PBE
State: relaxed

The structure in CIF format:
```
data_Tl2HgPtBr
_cell_length_a 5.394
_cell_length_b 5.394
_cell_length_c 5.347
_cell_angle_alpha 90.00
_cell_angle_beta 90.00
_cell_angle_gamma 90.00
_symmetry_space_group_name_H-M 'P 1'
_symmetry_Int_Tables_number 1
loop_
_symmetry_equiv_pos_as_xyz
'x,y,z'
loop_
_atom_site_label
_atom_site_fract_x
_atom_site_fract_y
_atom_site_fract_z
Tl1 0.000 0.500 0.000
Tl2 0.500 0.000 0.000
Hg1 0.000 0.000 0.500
Pt1 0.000 0.000 0.000
Br1 0.500 0.500 0.500
```

Computed properties:
Formation energy without anion corrections in meV/atom: -355
Fermi-level density of states in states/eV/f.u.: 1.53


Record 3
Material: BeZn2Re
Method: DFT, PBE
State: relaxed

The structure in CIF format:
```
data_BeZn2Re
_cell_length_a 2.632
_cell_length_b 2.632
_cell_length_c 7.571
_cell_angle_alpha 90.00
_cell_angle_beta 90.00
_cell_angle_gamma 90.00
_symmetry_space_group_name_H-M 'P 1'
_symmetry_Int_Tables_number 1
loop_
_symmetry_equiv_pos_as_xyz
'x,y,z'
loop_
_atom_site_label
_atom_site_fract_x
_atom_site_fract_y
_atom_site_fract_z
Be1 0.000 0.000 0.000
Zn1 0.500 0.500 0.221
Zn2 0.500 0.500 0.779
Re1 0.000 0.000 0.500
```

Computed properties:
Fermi-level density of states in states/eV/f.u.: 3.02
DFT formation energy in eV/atom: 0.344


Record 4
Material: Ca3Ho3ErTe8
Method: DFT, PBE
State: relaxed

The structure in CIF format:
```
data_Ca3Ho3ErTe8
_cell_length_a 8.889
_cell_length_b 8.889
_cell_length_c 8.889
_cell_angle_alpha 58.79
_cell_angle_beta 58.79
_cell_angle_gamma 58.79
_symmetry_space_group_name_H-M 'P 1'
_symmetry_Int_Tables_number 1
loop_
_symmetry_equiv_pos_as_xyz
'x,y,z'
loop_
_atom_site_label
_atom_site_fract_x
_atom_site_fract_y
_atom_site_fract_z
Ca1 0.000 0.500 0.500
Ca2 0.500 0.000 0.500
Ca3 0.500 0.500 0.000
Ho1 0.000 0.000 0.500
Ho2 0.000 0.500 0.000
Ho3 0.500 0.000 0.000
Er1 0.500 0.500 0.500
Te1 0.245 0.749 0.749
Te2 0.248 0.248 0.248
Te3 0.251 0.251 0.755
Te4 0.251 0.755 0.251
Te5 0.749 0.245 0.749
Te6 0.749 0.749 0.245
Te7 0.752 0.752 0.752
Te8 0.755 0.251 0.251
```

Computed properties:
Formation energy without anion corrections in meV/atom: -1471
Fermi-level density of states in states/eV/f.u.: 4.63


Record 5
Material: Cs3Nd2HoTe6
Method: DFT, PBE
State: relaxed

The structure in CIF format:
```
data_Cs3Nd2HoTe6
_cell_length_a 8.024
_cell_length_b 8.024
_cell_length_c 9.329
_cell_angle_alpha 98.25
_cell_angle_beta 98.25
_cell_angle_gamma 120.00
_symmetry_space_group_name_H-M 'P 1'
_symmetry_Int_Tables_number 1
loop_
_symmetry_equiv_pos_as_xyz
'x,y,z'
loop_
_atom_site_label
_atom_site_fract_x
_atom_site_fract_y
_atom_site_fract_z
Cs1 0.000 0.000 0.000
Cs2 0.331 0.669 0.000
Cs3 0.669 0.331 0.000
Nd1 0.166 0.834 0.500
Nd2 0.834 0.166 0.500
Ho1 0.500 0.500 0.500
Te1 0.111 0.436 0.308
Te2 0.240 0.240 0.693
Te3 0.436 0.111 0.308
Te4 0.564 0.889 0.692
Te5 0.760 0.760 0.307
Te6 0.889 0.564 0.692
```

Computed properties:
Formation energy without anion corrections in meV/atom: -1401